This record from Alexandria via LeMat-Bulk describes an optimized crystal structure of SrOs2Cl. The functional is PBE.

## Properties
formation energy without anion corrections: 0.32 eV per atom
calculated volume: 171.4 Å³/cell
E_tot: -6.173 eV per atom

Lattice parameters (Å, degrees): 3.2474 4.1291 12.7858 90.00 90.00 90.00
Last column: nearest neighbours and their distance in Å.
Atoms (fractional coordinates):
Sr 0.0000 0.0000 0.0000  4 Cl 2.63
Sr 0.5000 0.5000 0.5000  4 Cl 2.63
Os 0.0000 0.5000 0.2528  4 Os 2.63
Os 0.0000 0.5000 0.7472  4 Os 2.63
Os 0.5000 0.0000 0.2472  4 Os 2.63
Os 0.5000 0.0000 0.7528  4 Os 2.63
Cl 0.0000 0.0000 0.5000  4 Sr 2.63
Cl 0.5000 0.5000 0.0000  4 Sr 2.63

---

This record from Alexandria via LeMat-Bulk describes an optimized crystal structure of NaCaSmSn. The functional is PBE.

## Properties
calculated volume: 462.6 Å³/cell
E_tot: -3.345 eV per atom
E_form: -1.3 eV per formula unit

Lattice parameters (Å, degrees): 7.7338 7.7338 7.7338 90.00 90.00 90.00
Last column: nearest neighbours and their distance in Å.
Atoms (fractional coordinates):
Na 0.0000 0.0000 0.0000  4 Ca 3.35, 4 Sm 3.35
Na 0.0000 0.5000 0.5000  4 Ca 3.35, 4 Sm 3.35
Na 0.5000 0.0000 0.5000  4 Ca 3.35, 4 Sm 3.35
Na 0.5000 0.5000 0.0000  4 Ca 3.35, 4 Sm 3.35
Ca 0.2500 0.2500 0.7500  4 Sn 3.35, 4 Na 3.35
Ca 0.2500 0.7500 0.2500  4 Sn 3.35, 4 Na 3.35
Ca 0.7500 0.2500 0.2500  4 Sn 3.35, 4 Na 3.35
Ca 0.7500 0.7500 0.7500  4 Sn 3.35, 4 Na 3.35
Sm 0.2500 0.2500 0.2500  4 Sn 3.35, 4 Na 3.35
Sm 0.2500 0.7500 0.7500  4 Sn 3.35, 4 Na 3.35
Sm 0.7500 0.2500 0.7500  4 Sn 3.35, 4 Na 3.35
Sm 0.7500 0.7500 0.2500  4 Sn 3.35, 4 Na 3.35
Sn 0.0000 0.0000 0.5000  4 Sm 3.35, 4 Ca 3.35
Sn 0.0000 0.5000 0.0000  4 Sm 3.35, 4 Ca 3.35
Sn 0.5000 0.0000 0.0000  4 Sm 3.35, 4 Ca 3.35
Sn 0.5000 0.5000 0.5000  4 Sm 3.35, 4 Ca 3.35

---

Among the records above, which one has the highest E_tot? NaCaSmSn